TmSc2Zn8 after structural relaxation. Source: Alexandria, functional GGA-PBE.

Cell and atoms, written as CIF:
```
data_TmSc2Zn8
_cell_length_a 7.371
_cell_length_b 14.272
_cell_length_c 4.717
_cell_angle_alpha 90.00
_cell_angle_beta 129.63
_cell_angle_gamma 90.00
_symmetry_space_group_name_H-M 'C 1 2/m 1'
_symmetry_Int_Tables_number 12
_symmetry_space_group_name_Hall '-C 2y'
loop_
_atom_site_label
_atom_site_fract_x
_atom_site_fract_y
_atom_site_fract_z
Tm1 0.000 0.000 0.000
Sc1 0.000 0.310 0.500
Zn1 0.000 0.203 0.000
Zn2 0.001 0.500 0.252
Zn3 0.233 0.130 0.734
```

## Properties
final energy = -2.790 eV/atom
calculated volume = 17.37 Å³ per atom
formation enthalpy at 0 K = -306 meV/atom